1.
The following is a DFT calculation (PBE-GGA) of crystalline Ca2NdCd4 at its relaxed geometry.

Properties
DFT formation energy: -1.29 eV per formula unit
Energy: -1.9607 eV/atom

Unit cell a=5.577 b=5.577 c=13.646 alpha=90.00 beta=90.00 gamma=90.00
Space group I4/mmm (No. 139)
Inequivalent atoms, fractional coordinates:
Ca: 0.000 0.000 0.235 (multiplicity 4)
Nd: 0.000 0.000 0.500 (multiplicity 2)
Cd: 0.000 0.500 0.117 (multiplicity 8)

2.
The following is a DFT calculation (PBE-GGA) of crystalline Ca5NdCd6 at its relaxed geometry.

Properties
DFT formation energy: -4.35 eV per formula unit
Energy: -2.0513 eV/atom

Unit cell a=5.430 b=16.243 c=7.707 alpha=90.00 beta=90.00 gamma=90.00
Space group Cmmm (No. 65)
Inequivalent atoms, fractional coordinates:
Ca: 0.000 0.000 0.000 (multiplicity 2)
Ca: 0.000 0.333 0.500 (multiplicity 4)
Ca: 0.000 0.334 0.000 (multiplicity 4)
Nd: 0.000 0.000 0.500 (multiplicity 2)
Cd: 0.000 0.166 0.252 (multiplicity 8)
Cd: 0.000 0.500 0.253 (multiplicity 4)

3.
The following is a DFT calculation (PBE-GGA) of crystalline Ca3NdCd8 at its relaxed geometry.

Properties
DFT formation energy: -3.81 eV per formula unit
Energy: -1.8252 eV/atom

Unit cell a=6.0788 b=6.0788 c=9.5906 alpha=90.00 beta=90.00 gamma=120.00
Space group P3m1 (No. 156)
Inequivalent atoms, fractional coordinates:
Ca: 0.0000 0.0000 0.0000 (multiplicity 1)
Ca: 0.0000 0.0000 0.3825 (multiplicity 1)
Ca: 0.3333 0.6667 0.8785 (multiplicity 1)
Nd: 0.3333 0.6667 0.4995 (multiplicity 1)
Cd: 0.0084 0.5042 0.1910 (multiplicity 3)
Cd: 0.3261 0.1631 0.6902 (multiplicity 3)
Cd: 0.6667 0.3333 0.4410 (multiplicity 1)
Cd: 0.6667 0.3333 0.9422 (multiplicity 1)

- Which formula does entry 3 have?
  Ca3NdCd8

- Which value of DFT formation energy does entry 1 give?
  -1.29 eV per formula unit